This record from the Alexandria database describes crystalline RuWSe at its relaxed geometry. The functional is PBE.

Geometry as POSCAR:
```
RuWSe
1.0
2.9980 0.0000 0.0000
0.0000 3.9965 0.0000
0.0000 0.0000 7.8013
Ru W Se
2 2 2
Direct
0.0000 0.0000 0.0000
0.5000 0.5000 0.5000
0.0000 0.0000 0.3444
0.5000 0.5000 0.8444
0.0000 0.0000 0.6732
0.5000 0.5000 0.1732
```

Output
Energy above the lowest structure with this stoichiometry: 0.266 eV per atom
Symmetry: Imm2 (44)

---

This record from the Alexandria database describes crystalline Mg2Si5Ir3 at its relaxed geometry. The functional is PBE.

Geometry as POSCAR:
```
Mg2Si5Ir3
1.0
1.9765 -11.4491 0.0000
1.9765 11.4491 0.0000
0.0000 0.0000 6.8288
Mg Si Ir
4 10 6
Direct
0.0212 0.9788 0.5000
0.3238 0.6762 0.5475
0.6762 0.3238 0.0475
0.9788 0.0212 0.0000
0.1051 0.8949 0.8799
0.2044 0.7956 0.7358
0.2137 0.7863 0.3163
0.3834 0.6166 0.9900
0.4515 0.5485 0.6598
0.5485 0.4515 0.1598
0.6166 0.3834 0.4900
0.7863 0.2137 0.8163
0.7956 0.2044 0.2358
0.8949 0.1051 0.3799
0.1096 0.8904 0.2472
0.2739 0.7261 0.0210
0.4469 0.5531 0.2916
0.5531 0.4469 0.7916
0.7261 0.2739 0.5210
0.8904 0.1096 0.7472
```

Output
Final energy: -6.173 eV per atom
Symmetry: Cmc2_1 (36)

---

This record from the Alexandria database describes crystalline Pm3C2I2 at its relaxed geometry. The functional is PBE.

Geometry as POSCAR:
```
Pm3C2I2
1.0
3.7688 0.0000 0.0000
-1.3702 6.2504 0.0000
-0.5783 -1.3455 8.0753
Pm C I
3 2 2
Direct
0.0000 0.0000 0.0000
0.1953 0.4464 0.8065
0.8047 0.5536 0.1935
0.3626 0.7213 0.0515
0.6374 0.2787 0.9485
0.1978 0.2283 0.3785
0.8022 0.7717 0.6215
```

Output
Final energy: -5.580 eV per atom
Symmetry: P-1 (2)

---

This record from the Alexandria database describes crystalline Pr2HoInN at its relaxed geometry. The functional is PBE.

Geometry as POSCAR:
```
Pr2HoInN
1.0
5.1021 0.0000 0.0000
0.0000 5.1021 0.0000
0.0000 0.0000 4.7873
Pr Ho In N
2 1 1 1
Direct
0.0000 0.5000 0.0000
0.5000 0.0000 0.0000
0.0000 0.0000 0.5000
0.5000 0.5000 0.5000
0.0000 0.0000 0.0000
```

Output
Final energy: -5.915 eV per atom
Symmetry: P4/mmm (123)

---

This record from the Alexandria database describes crystalline Mg2TlSi2Rh5 at its relaxed geometry. The functional is PBE.

Geometry as POSCAR:
```
Mg2TlSi2Rh5
1.0
9.6929 0.0000 0.0000
0.0000 9.6929 0.0000
0.0000 0.0000 3.3869
Mg Tl Si Rh
4 2 4 10
Direct
0.1723 0.3277 0.0000
0.3277 0.8277 0.0000
0.6723 0.1723 0.0000
0.8277 0.6723 0.0000
0.0000 0.0000 0.0000
0.5000 0.5000 0.0000
0.1264 0.6264 0.0000
0.3736 0.1264 0.0000
0.6264 0.8736 0.0000
0.8736 0.3736 0.0000
0.0000 0.5000 0.5000
0.0737 0.7855 0.5000
0.2145 0.0737 0.5000
0.2855 0.5737 0.5000
0.4263 0.2855 0.5000
0.5000 0.0000 0.5000
0.5737 0.7145 0.5000
0.7145 0.4263 0.5000
0.7855 0.9263 0.5000
0.9263 0.2145 0.5000
```

Output
Final energy: -5.921 eV per atom
Symmetry: P4/mbm (127)

---

This record from the Alexandria database describes crystalline Tb8MgSn6 at its relaxed geometry. The functional is PBE.

Geometry as POSCAR:
```
Tb8MgSn6
1.0
4.5883 2.6491 6.3349
-4.5883 2.6491 6.3349
0.0000 -5.2981 6.3349
Tb Mg Sn
8 1 6
Direct
0.1126 0.3967 0.6973
0.1676 0.1676 0.1676
0.3027 0.8874 0.6033
0.3967 0.6973 0.1126
0.6033 0.3027 0.8874
0.6973 0.1126 0.3967
0.8324 0.8324 0.8324
0.8874 0.6033 0.3027
0.5000 0.5000 0.5000
0.0635 0.7890 0.4308
0.2110 0.5692 0.9365
0.4308 0.0635 0.7890
0.5692 0.9365 0.2110
0.7890 0.4308 0.0635
0.9365 0.2110 0.5692
```

Output
Final energy: -4.712 eV per atom
Symmetry: R-3 (148)

---

This record from the Alexandria database describes crystalline CsRb2MoC at its relaxed geometry. The functional is PBE.

Geometry as POSCAR:
```
CsRb2MoC
1.0
7.4286 0.0000 0.0000
0.0000 7.4286 0.0000
0.0000 0.0000 5.3891
Cs Rb Mo C
1 2 1 1
Direct
0.0000 0.0000 0.0000
0.0000 0.5000 0.0000
0.5000 0.0000 0.0000
0.0000 0.0000 0.5000
0.5000 0.5000 0.5000
```

Output
Final energy: -1.991 eV per atom
Symmetry: P4/mmm (123)

---

This record from the Alexandria database describes crystalline EuGdZnIn at its relaxed geometry. The functional is PBE.

Geometry as POSCAR:
```
EuGdZnIn
1.0
7.5892 0.0000 0.0000
0.0000 7.5892 0.0000
0.0000 0.0000 7.5892
Eu Gd Zn In
4 4 4 4
Direct
0.0000 0.0000 0.0000
0.0000 0.5000 0.5000
0.5000 0.0000 0.5000
0.5000 0.5000 0.0000
0.0000 0.0000 0.5000
0.0000 0.5000 0.0000
0.5000 0.0000 0.0000
0.5000 0.5000 0.5000
0.2500 0.2500 0.2500
0.2500 0.7500 0.7500
0.7500 0.2500 0.7500
0.7500 0.7500 0.2500
0.2500 0.2500 0.7500
0.2500 0.7500 0.2500
0.7500 0.2500 0.2500
0.7500 0.7500 0.7500
```

Output
Final energy: -7.451 eV per atom
Symmetry: F-43m (216)

---

This record from the Alexandria database describes crystalline Ti2TlMo2 at its relaxed geometry. The functional is PBE.

Geometry as POSCAR:
```
Ti2TlMo2
1.0
7.5470 0.0000 0.0000
0.0000 7.5470 0.0000
0.0000 0.0000 3.2071
Ti Tl Mo
4 2 4
Direct
0.1906 0.3094 0.0000
0.3094 0.8094 0.0000
0.6906 0.1906 0.0000
0.8094 0.6906 0.0000
0.0000 0.0000 0.5000
0.5000 0.5000 0.5000
0.1070 0.6070 0.5000
0.3930 0.1070 0.5000
0.6070 0.8930 0.5000
0.8930 0.3930 0.5000
```

Output
Final energy: -7.724 eV per atom
Symmetry: P4/mbm (127)

---

This record from the Alexandria database describes crystalline Pm3DyHg5 at its relaxed geometry. The functional is PBE.

Geometry as POSCAR:
```
Pm3DyHg5
1.0
9.2422 0.0000 0.0000
-4.6211 8.0040 0.0000
0.0000 0.0000 6.6372
Pm Dy Hg
6 2 10
Direct
0.0000 0.3715 0.2500
0.0000 0.6285 0.7500
0.3715 0.0000 0.2500
0.3715 0.3715 0.7500
0.6285 0.0000 0.7500
0.6285 0.6285 0.2500
0.0000 0.0000 0.0000
0.0000 0.0000 0.5000
0.0000 0.2944 0.7500
0.0000 0.7056 0.2500
0.2944 0.0000 0.7500
0.2944 0.2944 0.2500
0.3333 0.6667 0.0000
0.3333 0.6667 0.5000
0.6667 0.3333 0.0000
0.6667 0.3333 0.5000
0.7056 0.0000 0.2500
0.7056 0.7056 0.7500
```

Output
Final energy: -2.690 eV per atom
Symmetry: P6_3/mcm (193)

---

This record from the Alexandria database describes crystalline Li5ZnGa4 at its relaxed geometry. The functional is PBE.

Geometry as POSCAR:
```
Li5ZnGa4
1.0
3.1119 0.0000 0.0000
0.0000 3.1119 0.0000
0.0000 0.0000 15.8764
Li Zn Ga
5 1 4
Direct
0.0000 0.0000 0.0000
0.0000 0.0000 0.1968
0.0000 0.0000 0.4000
0.0000 0.0000 0.6000
0.0000 0.0000 0.8032
0.5000 0.5000 0.5000
0.5000 0.5000 0.0974
0.5000 0.5000 0.2990
0.5000 0.5000 0.7010
0.5000 0.5000 0.9026
```

Output
Final energy: -2.534 eV per atom
Symmetry: P4/mmm (123)

---

This record from the Alexandria database describes crystalline AcCePd6 at its relaxed geometry. The functional is PBE.

Geometry as POSCAR:
```
AcCePd6
1.0
4.2350 0.0000 0.0000
0.0000 4.2350 0.0000
0.0000 0.0000 8.4626
Ac Ce Pd
1 1 6
Direct
0.0000 0.0000 0.0000
0.0000 0.0000 0.5000
0.0000 0.5000 0.2642
0.0000 0.5000 0.7358
0.5000 0.0000 0.2642
0.5000 0.0000 0.7358
0.5000 0.5000 0.0000
0.5000 0.5000 0.5000
```

Output
Final energy: -5.942 eV per atom
Symmetry: P4/mmm (123)